(1)
! Ac2La2PdPt2 (PBE, relaxed); values from VASP
! Total energy, eV per atom: -5.91
&SYSTEM
  ibrav = 0, nat = 7, ntyp = 4
/
ATOMIC_SPECIES
Ac 227.00 Ac.upf
La 138.91 La.upf
Pd 106.42 Pd.upf
Pt 195.08 Pt.upf
CELL_PARAMETERS angstrom
4.1612 0.0000 0.0000
-2.0698 7.3538 0.0000
-0.0160 -3.7708 7.2865
ATOMIC_POSITIONS crystal
Ac 0.0290 0.0597 0.2506
Ac 0.9710 0.9403 0.7494
La 0.2829 0.5641 0.2152
La 0.7171 0.4359 0.7848
Pd 0.5000 0.0000 0.5000
Pt 0.3764 0.7537 0.9525
Pt 0.6236 0.2463 0.0475



(2)
! CaB2H8 (PBE, relaxed); values from VASP
! Energy above the lowest structure with this stoichiometry, meV per atom: 57
&SYSTEM
  ibrav = 0, nat = 11, ntyp = 3
/
ATOMIC_SPECIES
Ca 40.08 Ca.upf
B 10.81 B.upf
H 1.01 H.upf
CELL_PARAMETERS angstrom
4.3710 -3.2906 0.0000
4.3710 3.2906 0.0000
-1.5913 0.0000 3.6930
ATOMIC_POSITIONS crystal
Ca 0.0000 0.0000 0.0000
B 0.2278 0.2278 0.6875
B 0.7722 0.7722 0.3125
H 0.0092 0.7015 0.3248
H 0.2648 0.2648 0.4250
H 0.2985 0.9908 0.6752
H 0.3550 0.3550 0.9590
H 0.6450 0.6450 0.0410
H 0.7015 0.0092 0.3248
H 0.7352 0.7352 0.5750
H 0.9908 0.2985 0.6752